Compound: Tm6InPb
Source: Alexandria
Functional: PBE-GGA
Structure: relaxed

Unit cell a=6.9165 b=6.9165 c=6.9109 alpha=103.79 beta=103.79 gamma=120.09
Closest atoms and distances in Å follow each position.
Fractional coordinates of all 8 atoms:
Tm (0.2506, 0.2506, 0.7523)  1 In 2.96, 1 Pb 2.98
Tm (0.4599, 0.0390, 0.2464)  1 In 3.07, 1 Pb 3.09
Tm (0.7494, 0.7494, 0.2477)  1 In 2.96, 1 Pb 2.98
Tm (0.9610, 0.5401, 0.7536)  1 In 3.07, 1 Pb 3.09
Tm (0.5401, 0.9610, 0.7536)  1 In 3.07, 1 Pb 3.09
Tm (0.0390, 0.4599, 0.2464)  1 In 3.07, 1 Pb 3.09
In (0.0000, 0.0000, 0.0000)  6 Tm 2.96-3.07
Pb (0.5000, 0.5000, 0.5000)  6 Tm 2.98-3.09

As for the space group: C2/m (12). The energy relative to the lowest polymorph listed for this composition comes out at 349 meV per atom. The electronic total energy comes out at -0.1493 hartree per atom.



Compound: Tm6InPb3
Source: Alexandria
Functional: PBE-GGA
Structure: relaxed

Unit cell a=7.6686 b=8.6173 c=8.6173 alpha=89.93 beta=90.00 gamma=90.00
Closest atoms and distances in Å follow each position.
Fractional coordinates of all 20 atoms:
Tm (0.1519, 0.6688, 0.6202)  4 Pb 3.09-3.26, 2 In 3.23-3.26
Tm (0.6519, 0.6202, 0.6688)  4 Pb 3.09-3.26, 2 In 3.23-3.26
Tm (0.3933, 0.5085, 0.9952)  3 Pb 3.20-3.29, 1 In 3.28, 1 Tm 3.57
Tm (0.8933, 0.9952, 0.5085)  3 Pb 3.20-3.29, 1 In 3.28, 1 Tm 3.57
Tm (0.1373, 0.1262, 0.8738)  1 In 3.07, 5 Pb 3.12-3.17
Tm (0.6548, 0.1697, 0.8303)  1 In 3.04, 3 Pb 3.11-3.35
Tm (0.1548, 0.8303, 0.1697)  1 In 3.04, 3 Pb 3.11-3.35
Tm (0.6373, 0.8738, 0.1262)  1 In 3.07, 5 Pb 3.12-3.17
Tm (0.3933, 0.0048, 0.4915)  3 Pb 3.20-3.29, 1 In 3.28, 1 Tm 3.57
Tm (0.8933, 0.4915, 0.0048)  3 Pb 3.20-3.29, 1 In 3.28, 1 Tm 3.57
Tm (0.1519, 0.3798, 0.3312)  4 Pb 3.09-3.26, 2 In 3.23-3.26
Tm (0.6519, 0.3312, 0.3798)  4 Pb 3.09-3.26, 2 In 3.23-3.26
In (0.9373, 0.3443, 0.6557)  8 Tm 3.04-3.28, 1 Pb 3.25
In (0.4373, 0.6557, 0.3443)  8 Tm 3.04-3.28, 1 Pb 3.25
Pb (0.4026, 0.8529, 0.8311)  7 Tm 3.09-3.35
Pb (0.9026, 0.8311, 0.8529)  7 Tm 3.09-3.35
Pb (0.3605, 0.3449, 0.6551)  8 Tm 3.11-3.26, 1 In 3.25
Pb (0.8605, 0.6551, 0.3449)  8 Tm 3.11-3.26, 1 In 3.25
Pb (0.9026, 0.1471, 0.1689)  7 Tm 3.09-3.35
Pb (0.4026, 0.1689, 0.1471)  7 Tm 3.09-3.35

As for the space group: Cmc2_1 (36). The electronic total energy comes out at -0.1627 hartree per atom.



Compound: Tm2InPb3
Source: Alexandria
Functional: PBE-GGA
Structure: relaxed

Unit cell a=4.5629 b=4.6527 c=8.0497 alpha=90.00 beta=106.46 gamma=90.00
Closest atoms and distances in Å follow each position.
Fractional coordinates of all 6 atoms:
Tm (0.1504, 0.5000, 0.3008)  8 Pb 3.26-3.58, 2 In 3.29
Tm (0.8496, 0.5000, 0.6992)  8 Pb 3.26-3.58, 2 In 3.29
In (0.0000, 0.0000, 0.0000)  8 Pb 3.26-3.52, 4 Tm 3.29
Pb (0.3264, 0.0000, 0.6528)  6 Tm 3.28-3.58, 4 Pb 3.28-3.55, 2 In 3.52
Pb (0.6736, 0.0000, 0.3472)  6 Tm 3.28-3.58, 4 Pb 3.28-3.55, 2 In 3.52
Pb (0.5000, 0.5000, 0.0000)  4 Tm 3.26, 4 In 3.26, 4 Pb 3.55

As for the space group: Cmmm (65). The energy relative to the lowest polymorph listed for this composition comes out at 0 meV per atom. The electronic total energy comes out at -0.1518 hartree per atom.



Compound: Tm6InPb2
Source: Alexandria
Functional: PBE-GGA
Structure: relaxed

Unit cell a=5.1128 b=7.2249 c=8.8549 alpha=114.08 beta=106.78 gamma=90.00
Closest atoms and distances in Å follow each position.
Fractional coordinates of all 9 atoms:
Tm (0.1643, 0.4113, 0.3289)  1 In 3.09, 3 Pb 3.14-3.15
Tm (0.8357, 0.0824, 0.6711)  1 In 3.09, 3 Pb 3.14-3.15
Tm (0.8357, 0.5887, 0.6711)  1 In 3.09, 3 Pb 3.14-3.15
Tm (0.5000, 0.2441, 0.0000)  2 In 3.11, 2 Pb 3.15
Tm (0.1643, 0.9176, 0.3289)  1 In 3.09, 3 Pb 3.14-3.15
Tm (0.5000, 0.7559, 0.0000)  2 In 3.11, 2 Pb 3.15
In (0.0000, 0.0000, 0.0000)  8 Tm 3.09-3.11
Pb (0.6664, 0.6666, 0.3332)  8 Tm 3.14-3.15
Pb (0.3336, 0.3334, 0.6668)  8 Tm 3.14-3.15

As for the space group: Immm (71). The electronic total energy comes out at -0.1555 hartree per atom.



Compound: Tm6In2Pb
Source: Alexandria
Functional: PBE-GGA
Structure: relaxed

Unit cell a=6.0104 b=9.0146 c=9.5880 alpha=90.00 beta=85.17 gamma=90.00
Closest atoms and distances in Å follow each position.
Fractional coordinates of all 18 atoms:
Tm (0.8975, 0.9700, 0.1872)  1 Pb 3.12, 2 In 3.21-3.33, 2 Tm 3.40-3.46
Tm (0.9041, 0.6639, 0.5633)  1 Pb 3.13, 3 In 3.14-3.21, 4 Tm 3.36-3.50
Tm (0.9381, 0.6820, 0.9339)  1 Pb 3.12, 3 In 3.21-3.39, 2 Tm 3.45-3.46
Tm (0.5619, 0.1820, 0.5661)  1 Pb 3.12, 3 In 3.21-3.39, 2 Tm 3.45-3.46
Tm (0.5959, 0.1639, 0.9367)  1 Pb 3.13, 3 In 3.14-3.21, 4 Tm 3.36-3.50
Tm (0.6025, 0.4700, 0.3128)  1 Pb 3.12, 2 In 3.21-3.33, 2 Tm 3.40-3.46
Tm (0.1025, 0.0300, 0.8128)  1 Pb 3.12, 2 In 3.21-3.33, 2 Tm 3.40-3.46
Tm (0.0959, 0.3361, 0.4367)  1 Pb 3.13, 3 In 3.14-3.21, 4 Tm 3.36-3.50
Tm (0.0619, 0.3180, 0.0661)  1 Pb 3.12, 3 In 3.21-3.39, 2 Tm 3.45-3.46
Tm (0.4381, 0.8180, 0.4339)  1 Pb 3.12, 3 In 3.21-3.39, 2 Tm 3.45-3.46
Tm (0.4041, 0.8361, 0.0633)  1 Pb 3.13, 3 In 3.14-3.21, 4 Tm 3.36-3.50
Tm (0.3975, 0.5300, 0.6872)  1 Pb 3.12, 2 In 3.21-3.33, 2 Tm 3.40-3.46
In (0.9216, 0.3720, 0.7541)  8 Tm 3.14-3.39, 1 Pb 3.51
In (0.5784, 0.8720, 0.7459)  8 Tm 3.14-3.39, 1 Pb 3.51
In (0.4216, 0.1280, 0.2541)  8 Tm 3.14-3.39, 1 Pb 3.51
In (0.0784, 0.6280, 0.2459)  8 Tm 3.14-3.39, 1 Pb 3.51
Pb (0.5000, 0.5000, 0.0000)  6 Tm 3.12-3.13
Pb (0.0000, 0.0000, 0.5000)  6 Tm 3.12-3.13

As for the space group: P2_1/c (14). The electronic total energy comes out at -0.1556 hartree per atom.



Compound: Tm5In2Pb
Source: Alexandria
Functional: PBE-GGA
Structure: relaxed

Unit cell a=8.2065 b=8.2065 c=8.7847 alpha=117.85 beta=117.85 gamma=90.00
Closest atoms and distances in Å follow each position.
Fractional coordinates of all 16 atoms:
Tm (0.5026, 0.6943, 0.6969)  3 In 3.10-3.15, 2 Pb 3.37, 1 Tm 3.42
Tm (0.8057, 0.9974, 0.3031)  3 In 3.10-3.15, 2 Pb 3.37, 1 Tm 3.42
Tm (0.0000, 0.0000, 0.0000)  4 In 3.16, 2 Pb 3.30
Tm (0.5000, 0.5000, 0.0000)  4 In 3.16, 2 Pb 3.30
Tm (0.1943, 0.0026, 0.6969)  3 In 3.10-3.15, 2 Pb 3.37, 1 Tm 3.42
Tm (0.6943, 0.1943, 0.6969)  3 In 3.10-3.15, 2 Pb 3.37, 1 Tm 3.42
Tm (0.0026, 0.5026, 0.6969)  3 In 3.10-3.15, 2 Pb 3.37, 1 Tm 3.42
Tm (0.3057, 0.8057, 0.3031)  3 In 3.10-3.15, 2 Pb 3.37, 1 Tm 3.42
Tm (0.9974, 0.4974, 0.3031)  3 In 3.10-3.15, 2 Pb 3.37, 1 Tm 3.42
Tm (0.4974, 0.3057, 0.3031)  3 In 3.10-3.15, 2 Pb 3.37, 1 Tm 3.42
In (0.1415, 0.3585, 0.0000)  8 Tm 3.10-3.16, 1 In 3.28
In (0.6415, 0.1415, 0.0000)  8 Tm 3.10-3.16, 1 In 3.28
In (0.3585, 0.8585, 0.0000)  8 Tm 3.10-3.16, 1 In 3.28
In (0.8585, 0.6415, 0.0000)  8 Tm 3.10-3.16, 1 In 3.28
Pb (0.7500, 0.7500, 0.5000)  10 Tm 3.30-3.37
Pb (0.2500, 0.2500, 0.5000)  10 Tm 3.30-3.37

As for the space group: I4/mcm (140). The electronic total energy comes out at -0.1591 hartree per atom.



Compound: Tm2InPb2
Source: Alexandria
Functional: PBE-GGA
Structure: relaxed

Unit cell a=6.7939 b=6.7939 c=10.5383 alpha=94.80 beta=94.80 gamma=137.78
Closest atoms and distances in Å follow each position.
Fractional coordinates of all 10 atoms:
Tm (0.3990, 0.6010, 0.5000)  2 In 3.09, 2 Pb 3.17
Tm (0.1490, 0.8510, 0.0000)  2 In 3.09, 2 Pb 3.17
Tm (0.1010, 0.8990, 0.5000)  2 In 3.09, 2 Pb 3.17
Tm (0.8510, 0.1490, 0.0000)  2 In 3.09, 2 Pb 3.17
In (0.7500, 0.2500, 0.5000)  4 Pb 3.07, 4 Tm 3.09
In (0.5000, 0.5000, 0.0000)  4 Pb 3.07, 4 Tm 3.09
Pb (0.1250, 0.3750, 0.7500)  2 In 3.07, 2 Tm 3.17, 2 Pb 3.40
Pb (0.6250, 0.3750, 0.2500)  2 In 3.07, 2 Tm 3.17, 2 Pb 3.40
Pb (0.6250, 0.3750, 0.7500)  2 In 3.07, 2 Tm 3.17, 2 Pb 3.40
Pb (0.6250, 0.8750, 0.2500)  2 In 3.07, 2 Tm 3.17, 2 Pb 3.40

As for the space group: Fddd (70). The energy relative to the lowest polymorph listed for this composition comes out at 189 meV per atom. The electronic total energy comes out at -0.1386 hartree per atom.



Compound: Tm2In2Pb
Source: Alexandria
Functional: PBE-GGA
Structure: relaxed

Unit cell a=3.4768 b=4.6839 c=8.4234 alpha=106.14 beta=90.00 gamma=90.00
Closest atoms and distances in Å follow each position.
Fractional coordinates of all 5 atoms:
Tm (0.5000, 0.6163, 0.2327)  6 In 3.20-3.47, 4 Pb 3.47, 2 Tm 3.48
Tm (0.5000, 0.3837, 0.7673)  6 In 3.20-3.47, 4 Pb 3.47, 2 Tm 3.48
In (0.0000, 0.1983, 0.3966)  2 In 2.88, 4 Tm 3.20, 1 Pb 3.21
In (0.0000, 0.8017, 0.6034)  2 In 2.88, 4 Tm 3.20, 1 Pb 3.21
Pb (0.0000, 0.0000, 0.0000)  2 In 3.21, 8 Tm 3.47, 2 Pb 3.48

As for the space group: Cmmm (65). The energy relative to the lowest polymorph listed for this composition comes out at 0 meV per atom. The electronic total energy comes out at -0.1463 hartree per atom.



Number 1: ΔH_f (0 K) 0.10 eV/atom, DOS at the Fermi energy 1.50 states/eV/atom. Number 2: ΔH_f (0 K) -0.36 eV/atom, DOS at the Fermi energy 1.00 states/eV/atom. Number 3: ΔH_f (0 K) -0.33 eV/atom, DOS at the Fermi energy 0.42 states/eV/atom. Number 4: ΔH_f (0 K) -0.12 eV/atom, DOS at the Fermi energy 1.24 states/eV/atom. Number 5: ΔH_f (0 K) -0.23 eV/atom, DOS at the Fermi energy 0.84 states/eV/atom. Number 6: ΔH_f (0 K) -0.39 eV/atom, DOS at the Fermi energy 0.82 states/eV/atom. Number 7: ΔH_f (0 K) 0.05 eV/atom, DOS at the Fermi energy 0.79 states/eV/atom. Number 8: ΔH_f (0 K) -0.36 eV/atom, DOS at the Fermi energy 0.43 states/eV/atom.